Computed, not measured: an optimized crystal structure of PrTl3 at the PBE level of DFT.

Lattice parameters (Å, degrees): 4.7740 4.7740 6.1224 112.95 112.95 90.00
Fractional positions:
Pr 0.0000 0.0000 0.0000
Tl 0.2500 0.7500 0.5000
Tl 0.7500 0.2500 0.5000
Tl 0.5000 0.5000 0.0000

Results
M_tot	0.00	μB/f.u.
ΔH_f (0 K)	-0.96	eV per formula unit
SG	I4/mmm, No. 139